[1]
DFT (PBE-GGA) results for crystalline Ti3NbGa at its relaxed geometry.

## Properties
ΔE to the lowest computed polymorph   250 meV/atom
Formation energy   60 meV/atom
Energy   -7.30 eV/atom
Crystal system   orthorhombic

The structure in CIF format:
```
data_Ti3NbGa
_chemical_formula_sum 'Ti12 Nb4 Ga4'
_symmetry_space_group_name_H-M 'P n m a'
_symmetry_Int_Tables_number 62
_cell_length_a 4.5565
_cell_length_b 7.8839
_cell_length_c 10.2571
_cell_angle_alpha 90.00
_cell_angle_beta 90.00
_cell_angle_gamma 90.00
loop_
_symmetry_equiv_pos_as_xyz
'x,y,z'
'-x,-y,-z'
'-x+1/2,-y,z+1/2'
'x+1/2,y,-z+1/2'
'x+1/2,-y+1/2,-z+1/2'
'-x+1/2,y+1/2,z+1/2'
'-x,y+1/2,-z'
'x,-y+1/2,z'
loop_
_atom_site_label
_atom_site_type_symbol
_atom_site_fract_x
_atom_site_fract_y
_atom_site_fract_z
Ti1 Ti 0.0004 0.2500 0.1712
Ti2 Ti 0.0011 0.0387 0.6626
Nb1 Nb 0.0010 0.2500 0.8737
Ga1 Ga 0.0007 0.2500 0.4615
```

[2]
DFT (PBE-GGA) results for crystalline Cs2CuN at its relaxed geometry.

## Properties
Energy   -2.31 eV/atom
Energy relative to the elements, uncorrected   1.221 eV/atom
Crystal system   cubic

The structure in CIF format:
```
data_Cs2CuN
_chemical_formula_sum 'Cs8 Cu4 N4'
_symmetry_space_group_name_H-M 'F m -3 m'
_symmetry_Int_Tables_number 225
_symmetry_space_group_name_Hall '-F 4 2 3'
_cell_length_a 7.9842
_cell_length_b 7.9842
_cell_length_c 7.9842
_cell_angle_alpha 90.00
_cell_angle_beta 90.00
_cell_angle_gamma 90.00
loop_
_atom_site_label
_atom_site_type_symbol
_atom_site_fract_x
_atom_site_fract_y
_atom_site_fract_z
Cs1 Cs 0.2500 0.2500 0.2500
Cu1 Cu 0.0000 0.0000 0.0000
N1 N 0.0000 0.0000 0.5000
```

[3]
DFT (PBE-GGA) results for crystalline SmHo3Tl4 at its relaxed geometry.

## Properties
ΔE to the lowest computed polymorph   134 meV/atom
Formation energy   -205 meV/atom
Energy   -3.70 eV/atom
Crystal system   orthorhombic

The structure in CIF format:
```
data_SmHo3Tl4
_chemical_formula_sum 'Sm2 Ho6 Tl8'
_symmetry_space_group_name_H-M 'P m n 21'
_symmetry_Int_Tables_number 31
_cell_length_a 10.7954
_cell_length_b 6.4561
_cell_length_c 6.5420
_cell_angle_alpha 90.00
_cell_angle_beta 90.00
_cell_angle_gamma 90.00
loop_
_symmetry_equiv_pos_as_xyz
'x,y,z'
'-x+1/2,-y,z+1/2'
'-x,y,z'
'x+1/2,-y,z+1/2'
loop_
_atom_site_label
_atom_site_type_symbol
_atom_site_fract_x
_atom_site_fract_y
_atom_site_fract_z
Sm1 Sm 0.0000 0.0497 0.0000
Ho1 Ho 0.0000 0.5463 0.1493
Ho2 Ho 0.2494 0.7427 0.8283
Tl1 Tl 0.0000 0.0248 0.5074
Tl2 Tl 0.0000 0.5217 0.6425
Tl3 Tl 0.2434 0.7557 0.3272
```

[4]
DFT (PBE-GGA) results for crystalline Pu2GaSe at its relaxed geometry.

## Properties
Energy   -9.52 eV/atom
Energy relative to the elements, uncorrected   -0.722 eV/atom
Crystal system   tetragonal

The structure in CIF format:
```
data_Pu2GaSe
_chemical_formula_sum 'Pu2 Ga1 Se1'
_symmetry_space_group_name_H-M 'P 4/m m m'
_symmetry_Int_Tables_number 123
_symmetry_space_group_name_Hall '-P 4 2'
_cell_length_a 3.3904
_cell_length_b 3.3904
_cell_length_c 7.9058
_cell_angle_alpha 90.00
_cell_angle_beta 90.00
_cell_angle_gamma 90.00
loop_
_atom_site_label
_atom_site_type_symbol
_atom_site_fract_x
_atom_site_fract_y
_atom_site_fract_z
Pu1 Pu 0.0000 0.0000 0.2384
Ga1 Ga 0.5000 0.5000 0.5000
Se1 Se 0.5000 0.5000 0.0000
```

[5]
DFT (PBE-GGA) results for crystalline YHoThSc3 at its relaxed geometry.

## Properties
Formation energy   51 meV/atom
Energy   -6.19 eV/atom
Crystal system   monoclinic

The structure in CIF format:
```
data_YHoThSc3
_chemical_formula_sum 'Y2 Ho2 Th2 Sc6'
_symmetry_space_group_name_H-M 'P 1 21/m 1'
_symmetry_Int_Tables_number 11
_cell_length_a 10.1227
_cell_length_b 3.4491
_cell_length_c 10.1498
_cell_angle_alpha 90.00
_cell_angle_beta 108.32
_cell_angle_gamma 90.00
loop_
_symmetry_equiv_pos_as_xyz
'x,y,z'
'-x,-y,-z'
'-x,y+1/2,-z'
'x,-y+1/2,z'
loop_
_atom_site_label
_atom_site_type_symbol
_atom_site_fract_x
_atom_site_fract_y
_atom_site_fract_z
Y1 Y 0.1322 0.2500 0.2878
Ho1 Ho 0.1294 0.2500 0.6231
Th1 Th 0.3715 0.7500 0.8751
Sc1 Sc 0.1274 0.2500 0.9631
Sc2 Sc 0.3841 0.7500 0.2083
Sc3 Sc 0.3837 0.7500 0.5439
```

[6]
DFT (PBE-GGA) results for crystalline DyCd4Hg4 at its relaxed geometry.

## Properties
Formation energy   -127 meV/atom
Energy   -1.18 eV/atom
Crystal system   triclinic

The structure in CIF format:
```
data_DyCd4Hg4
_chemical_formula_sum 'Dy1 Cd4 Hg4'
_symmetry_space_group_name_H-M 'P -1'
_symmetry_Int_Tables_number 2
_cell_length_a 4.9180
_cell_length_b 6.2382
_cell_length_c 8.0273
_cell_angle_alpha 112.42
_cell_angle_beta 103.45
_cell_angle_gamma 90.13
loop_
_symmetry_equiv_pos_as_xyz
'x,y,z'
'-x,-y,-z'
loop_
_atom_site_label
_atom_site_type_symbol
_atom_site_fract_x
_atom_site_fract_y
_atom_site_fract_z
Dy1 Dy 0.0000 0.0000 0.0000
Cd1 Cd 0.0821 0.6181 0.2151
Cd2 Cd 0.4045 0.0994 0.7421
Hg1 Hg 0.1794 0.2517 0.4318
Hg2 Hg 0.4354 0.6616 0.8223
```

[7]
DFT (PBE-GGA) results for crystalline GaNi2GeRu at its relaxed geometry.

## Properties
Formation energy   818 meV/atom
Energy   -4.88 eV/atom
Crystal system   tetragonal

The structure in CIF format:
```
data_GaNi2GeRu
_chemical_formula_sum 'Ga1 Ni2 Ge1 Ru1'
_symmetry_space_group_name_H-M 'P 4/m m m'
_symmetry_Int_Tables_number 123
_symmetry_space_group_name_Hall '-P 4 2'
_cell_length_a 4.2574
_cell_length_b 4.2574
_cell_length_c 4.5990
_cell_angle_alpha 90.00
_cell_angle_beta 90.00
_cell_angle_gamma 90.00
loop_
_atom_site_label
_atom_site_type_symbol
_atom_site_fract_x
_atom_site_fract_y
_atom_site_fract_z
Ga1 Ga 0.0000 0.0000 0.0000
Ni1 Ni 0.0000 0.5000 0.0000
Ge1 Ge 0.5000 0.5000 0.5000
Ru1 Ru 0.0000 0.0000 0.5000
```

[8]
DFT (PBE-GGA) results for crystalline TmHf3Sn2 at its relaxed geometry.

## Properties
Formation energy   -285 meV/atom
Energy   -7.34 eV/atom
Crystal system   monoclinic

The structure in CIF format:
```
data_TmHf3Sn2
_chemical_formula_sum 'Tm4 Hf12 Sn8'
_symmetry_space_group_name_H-M 'C 1 2/m 1'
_symmetry_Int_Tables_number 12
_cell_length_a 17.0807
_cell_length_b 4.2825
_cell_length_c 8.6268
_cell_angle_alpha 90.00
_cell_angle_beta 113.17
_cell_angle_gamma 90.00
loop_
_symmetry_equiv_pos_as_xyz
'x,y,z'
'-x,-y,-z'
'-x,y,-z'
'x,-y,z'
'x+1/2,y+1/2,z'
'-x+1/2,-y+1/2,-z'
'-x+1/2,y+1/2,-z'
'x+1/2,-y+1/2,z'
loop_
_atom_site_label
_atom_site_type_symbol
_atom_site_fract_x
_atom_site_fract_y
_atom_site_fract_z
Tm1 Tm 0.1180 0.0000 0.1393
Hf1 Hf 0.0600 0.0000 0.6796
Hf2 Hf 0.1203 0.5000 0.4941
Hf3 Hf 0.1917 0.5000 0.8904
Sn1 Sn 0.0140 0.5000 0.8508
Sn2 Sn 0.2449 0.0000 0.6952
```

Number 1: theoretical density 5.520 g/cm3, DOS(E_F) 28.50 states/eV/cell. Number 2: theoretical density 4.481 g/cm3, DOS(E_F) 67.55 states/eV/cell. Number 3: theoretical density 10.654 g/cm3, DOS(E_F) 13.22 states/eV/cell. Number 4: theoretical density 11.634 g/cm3, DOS(E_F) 14.48 states/eV/cell. Number 5: theoretical density 6.128 g/cm3, DOS(E_F) 17.63 states/eV/cell. Number 6: theoretical density 10.663 g/cm3, DOS(E_F) 3.27 states/eV/cell. Number 7: theoretical density 7.187 g/cm3, DOS(E_F) 4.44 states/eV/cell. Number 8: theoretical density 10.783 g/cm3, DOS(E_F) 18.41 states/eV/cell.